Entry from Alexandria via LeMat-Bulk: crystalline Ac6NpO12 at its relaxed geometry (PBE-GGA). Values from VASP.

The structure in Quantum ESPRESSO input format:
```
&SYSTEM
  ibrav = 0, nat = 19, ntyp = 3
/
ATOMIC_SPECIES
O 16.00 O.upf
Ac 227.00 Ac.upf
Np 237.00 Np.upf
CELL_PARAMETERS angstrom
7.058 0.008 -1.076
-1.254 6.945 -1.076
0.006 0.008 7.139
ATOMIC_POSITIONS crystal
O 0.406 0.823 0.558
O 0.558 0.406 0.823
O 0.442 0.594 0.177
O 0.712 0.935 0.038
O 0.038 0.712 0.935
O 0.177 0.442 0.594
O 0.935 0.038 0.712
O 0.962 0.288 0.065
O 0.065 0.962 0.288
O 0.594 0.177 0.442
O 0.823 0.558 0.406
O 0.288 0.065 0.962
Ac 0.395 0.694 0.856
Ac 0.694 0.856 0.395
Ac 0.605 0.306 0.144
Ac 0.306 0.144 0.605
Ac 0.144 0.605 0.306
Ac 0.856 0.395 0.694
Np 0.000 0.000 0.000
```

Computed properties:
ρ: 8.49 Mg/m³
crystal system: trigonal
space group: R-3
final energy: -160.7 eV per cell

***

Entry from Alexandria via LeMat-Bulk: crystalline AcNpO6 at its relaxed geometry (PBE-GGA). Values from VASP.

The structure in Quantum ESPRESSO input format:
```
&SYSTEM
  ibrav = 0, nat = 8, ntyp = 3
/
ATOMIC_SPECIES
O 16.00 O.upf
Ac 227.00 Ac.upf
Np 237.00 Np.upf
CELL_PARAMETERS angstrom
4.887 -0.056 -0.064
-0.590 4.851 -0.064
-0.590 -0.658 4.807
ATOMIC_POSITIONS crystal
O 0.578 0.211 0.211
O 0.789 0.422 0.789
O 0.422 0.789 0.789
O 0.211 0.578 0.211
O 0.789 0.789 0.422
O 0.211 0.211 0.578
Ac 0.000 0.000 0.000
Np 0.500 0.500 0.500
```

Computed properties:
relative energy among the computed polymorphs: 0.000 eV/atom
ρ: 8.20 Mg/m³
crystal system: trigonal
space group: R-3m
final energy: -65.0 eV per cell

***

Entry from Alexandria via LeMat-Bulk: crystalline Ac3NpO6 at its relaxed geometry (PBE-GGA). Values from VASP.

The structure in Quantum ESPRESSO input format:
```
&SYSTEM
  ibrav = 0, nat = 20, ntyp = 3
/
ATOMIC_SPECIES
Np 237.00 Np.upf
O 16.00 O.upf
Ac 227.00 Ac.upf
CELL_PARAMETERS angstrom
-2.277 6.978 -0.229
-0.996 -0.357 7.267
7.008 2.042 0.801
ATOMIC_POSITIONS crystal
Np 0.500 0.500 0.500
Np 0.000 0.000 0.000
O 0.695 0.091 0.942
O 0.305 0.909 0.058
O 0.058 0.305 0.909
O 0.942 0.695 0.091
O 0.197 0.537 0.407
O 0.909 0.058 0.305
O 0.537 0.407 0.197
O 0.463 0.593 0.803
O 0.407 0.197 0.537
O 0.803 0.463 0.593
O 0.091 0.942 0.695
O 0.593 0.803 0.463
Ac 0.446 0.937 0.748
Ac 0.252 0.554 0.063
Ac 0.554 0.063 0.252
Ac 0.063 0.252 0.554
Ac 0.748 0.446 0.937
Ac 0.937 0.748 0.446
```

Computed properties:
ρ: 8.52 Mg/m³
crystal system: trigonal
space group: R-3
final energy: -172.9 eV per cell

***

Entry from Alexandria via LeMat-Bulk: crystalline AcNp2O8 at its relaxed geometry (PBE-GGA). Values from VASP.

The structure in Quantum ESPRESSO input format:
```
&SYSTEM
  ibrav = 0, nat = 11, ntyp = 3
/
ATOMIC_SPECIES
Np 237.00 Np.upf
O 16.00 O.upf
Ac 227.00 Ac.upf
CELL_PARAMETERS angstrom
-1.705 -4.068 1.370
4.419 -2.689 -3.995
1.184 1.956 7.280
ATOMIC_POSITIONS crystal
Np 0.732 0.745 0.373
Np 0.268 0.255 0.627
O 0.763 0.137 0.569
O 0.257 0.242 0.869
O 0.744 0.758 0.627
O 0.270 0.621 0.810
O 0.237 0.863 0.431
O 0.256 0.242 0.373
O 0.743 0.758 0.131
O 0.730 0.379 0.190
Ac 0.000 0.000 0.000
```

Computed properties:
relative energy among the computed polymorphs: 0.000 eV/atom
ρ: 7.39 Mg/m³
crystal system: monoclinic
space group: C2/m
final energy: -100.4 eV per cell

***

Entry from Alexandria via LeMat-Bulk: crystalline AcNp2O6 at its relaxed geometry (PBE-GGA). Values from VASP.

The structure in Quantum ESPRESSO input format:
```
&SYSTEM
  ibrav = 0, nat = 9, ntyp = 3
/
ATOMIC_SPECIES
Ac 227.00 Ac.upf
Np 237.00 Np.upf
O 16.00 O.upf
CELL_PARAMETERS angstrom
5.129 0.000 0.000
0.000 5.108 -2.949
0.000 0.000 5.898
ATOMIC_POSITIONS crystal
Ac 0.000 0.000 0.000
Np 0.500 0.333 0.667
Np 0.500 0.667 0.333
O 0.717 0.640 0.640
O 0.717 0.000 0.360
O 0.283 0.640 0.000
O 0.283 0.360 0.360
O 0.283 0.000 0.640
O 0.717 0.360 0.000
```

Computed properties:
ρ: 8.56 Mg/m³
crystal system: trigonal
space group: P-31m
final energy: -87.7 eV per cell

***

Entry from Alexandria via LeMat-Bulk: crystalline Ac2NpO5 at its relaxed geometry (PBE-GGA). Values from VASP.

The structure in Quantum ESPRESSO input format:
```
&SYSTEM
  ibrav = 0, nat = 16, ntyp = 3
/
ATOMIC_SPECIES
O 16.00 O.upf
Ac 227.00 Ac.upf
Np 237.00 Np.upf
CELL_PARAMETERS angstrom
-4.072 0.906 4.156
5.215 -4.107 1.833
2.520 7.837 0.762
ATOMIC_POSITIONS crystal
O 0.597 0.692 0.398
O 0.377 0.277 0.036
O 0.164 0.000 0.250
O 0.403 0.308 0.602
O 0.095 0.692 0.898
O 0.623 0.723 0.964
O 0.901 0.277 0.536
O 0.905 0.308 0.102
O 0.836 0.000 0.750
O 0.099 0.723 0.464
Ac 0.643 0.342 0.333
Ac 0.301 0.658 0.167
Ac 0.357 0.658 0.667
Ac 0.699 0.342 0.833
Np 0.000 0.000 0.000
Np 0.000 0.000 0.500
```

Computed properties:
ρ: 8.99 Mg/m³
crystal system: monoclinic
space group: C2/c
final energy: -143.7 eV per cell